An optimized crystal structure of TaTlCo3. Source: Alexandria, functional PBE-GGA.

abc: 4.5314 4.5314 4.5314
angles: 90.00 90.00 90.00
Each line ends with the local moment (μB).
Atoms (fractional coordinates):
Co1 0.0000 0.0000 0.5000  0.33
Co2 0.5000 0.0000 0.0000  0.34
Co3 0.0000 0.5000 0.0000  0.35
Tl1 0.5000 0.5000 0.5000  0.01
Ta1 0.0000 0.0000 0.0000  -0.13

## Properties
energy above the lowest structure with this stoichiometry = 0.000 eV per atom
space group = No. 221
energy of formation = 1.276 eV/atom
final energy = -5.83 eV/atom

---

An optimized crystal structure of Ta2TlCo. Source: Alexandria, functional PBE-GGA.

abc: 8.9119 8.9119 8.9119
angles: 20.10 20.10 20.10
Atoms (fractional coordinates):
Ta1 0.2561 0.2561 0.2561
Ta2 0.0101 0.0101 0.0101
Co1 0.7418 0.7418 0.7418
Tl1 0.4920 0.4920 0.4920

## Properties
energy above the lowest structure with this stoichiometry = 0.139 eV per atom
space group = No. 160
energy of formation = 0.364 eV/atom
final energy = -7.93 eV/atom

---

An optimized crystal structure of Ta2TlCo. Source: Alexandria, functional PBE-GGA.

abc: 4.6394 4.6394 4.6394
angles: 60.00 60.00 60.00
Each line ends with the local moment (μB).
Atoms (fractional coordinates):
Tl1 0.7500 0.7500 0.7500  0.01
Co1 0.5000 0.5000 0.5000  1.18
Ta1 0.2500 0.2500 0.2500  0.20
Ta2 0.0000 0.0000 0.0000  0.62

## Properties
energy above the lowest structure with this stoichiometry = 0.383 eV per atom
space group = No. 216
energy of formation = 0.608 eV/atom
final energy = -7.69 eV/atom

---

An optimized crystal structure of TaTlCo. Source: Alexandria, functional PBE-GGA.

abc: 6.0209 6.0209 6.0209
angles: 150.66 150.63 41.99
Each line ends with the local moment (μB).
Atoms (fractional coordinates):
Co1 0.0187 0.0187 0.0000  0.52
Tl1 0.3438 0.3438 0.0000  0.01
Ta1 0.6375 0.6375 0.0000  0.05

## Properties
space group = No. 107
energy of formation = 0.295 eV/atom
final energy = -6.81 eV/atom

---

An optimized crystal structure of TaTlCo. Source: Alexandria, functional PBE-GGA.

abc: 4.4806 4.4806 2.8986
angles: 90.00 90.00 120.00
Atoms (fractional coordinates):
Tl1 0.3333 0.6667 0.8345
Co1 0.0000 0.0000 0.8314
Ta1 0.6667 0.3333 0.3341

## Properties
space group = No. 156
energy of formation = 0.491 eV/atom
final energy = -6.62 eV/atom

---

An optimized crystal structure of TaTl2Co. Source: Alexandria, functional PBE-GGA.

abc: 3.2198 5.1047 4.7810
angles: 90.00 90.00 90.00
Each line ends with the local moment (μB).
Atoms (fractional coordinates):
Co1 0.5000 0.0000 0.5000  1.41
Tl1 0.0000 0.0000 0.0000  -0.01
Tl2 0.5000 0.5000 0.0000  0.01
Ta1 0.0000 0.5000 0.5000  0.01

## Properties
space group = No. 47
energy of formation = 0.772 eV/atom
final energy = -5.15 eV/atom

---

An optimized crystal structure of Ta2TlCo. Source: Alexandria, functional PBE-GGA.

abc: 4.3572 3.9744 3.9744
angles: 90.00 90.00 90.00
Each line ends with the local moment (μB).
Atoms (fractional coordinates):
Ta1 0.0000 0.0000 0.0000  0.04
Ta2 0.0000 0.5000 0.5000  0.04
Tl1 0.5000 0.5000 0.0000  0.00
Co1 0.5000 0.0000 0.5000  1.19

## Properties
energy above the lowest structure with this stoichiometry = 0.133 eV per atom
space group = No. 123
energy of formation = 0.359 eV/atom
final energy = -7.94 eV/atom

---

An optimized crystal structure of Ta3TlCo. Source: Alexandria, functional PBE-GGA.

abc: 4.6301 4.6301 4.6301
angles: 90.00 90.00 90.00
Atoms (fractional coordinates):
Tl1 0.5000 0.5000 0.5000
Ta1 0.5000 0.0000 0.0000
Ta2 0.0000 0.0000 0.5000
Ta3 0.0000 0.5000 0.0000
Co1 0.0000 0.0000 0.0000

## Properties
energy above the lowest structure with this stoichiometry = 0.000 eV per atom
space group = No. 221
energy of formation = 0.695 eV/atom
final energy = -8.31 eV/atom